CaPmMg3 | PBE | optimized geometry

Properties
- SG: No. 63
- Calculated formation energy: 49 meV per atom

POSCAR file:
```
CaPmMg3
1.0
3.426 -7.832 0.000
3.426 7.832 0.000
0.000 0.000 5.765
Ca Pm Mg
2 2 6
direct
0.106 0.894 0.750
0.894 0.106 0.250
0.302 0.698 0.250
0.698 0.302 0.750
0.130 0.404 0.750
0.404 0.130 0.250
0.500 0.500 0.000
0.500 0.500 0.500
0.596 0.870 0.750
0.870 0.596 0.250
```

Nb5Ni2H4 | PBE | optimized geometry

Properties
- SG: No. 12
- E: -6.75 eV/atom

POSCAR file:
```
Nb5Ni2H4
1.0
8.401 -1.387 0.000
8.401 1.387 0.000
-0.338 0.000 5.576
Nb Ni H
5 2 4
direct
0.000 0.000 0.000
0.319 0.319 0.138
0.325 0.325 0.638
0.675 0.675 0.362
0.681 0.681 0.862
0.447 0.447 0.367
0.553 0.553 0.633
0.127 0.127 0.097
0.458 0.458 0.724
0.542 0.542 0.276
0.873 0.873 0.903
```

As2CBrF | PBE | optimized geometry

Properties
- SG: No. 123
- Energy above the lowest structure with this stoichiometry: 0 meV/atom
- Formation energy (no corrections): 0.857 eV/atom

POSCAR file:
```
As2CBrF
1.0
4.343 0.000 0.000
0.000 4.343 0.000
0.000 0.000 4.650
As C Br F
2 1 1 1
direct
0.000 0.500 0.000
0.500 0.000 0.000
0.000 0.000 0.000
0.000 0.000 0.500
0.500 0.500 0.500
```

Rb2Cd9Ag6 | PBE | optimized geometry

Properties
- SG: No. 191
- Calculated formation energy: 30 meV per atom

POSCAR file:
```
Rb2Cd9Ag6
1.0
6.164 0.000 0.000
-3.082 5.338 0.000
0.000 0.000 13.943
Rb Cd Ag
2 9 6
direct
0.000 0.000 0.173
0.000 0.000 0.827
0.000 0.500 0.000
0.000 0.500 0.338
0.000 0.500 0.662
0.500 0.000 0.000
0.500 0.000 0.338
0.500 0.000 0.662
0.500 0.500 0.000
0.500 0.500 0.338
0.500 0.500 0.662
0.333 0.667 0.169
0.333 0.667 0.500
0.333 0.667 0.831
0.667 0.333 0.169
0.667 0.333 0.500
0.667 0.333 0.831
```

BaLa2Au | PBE | optimized geometry

Properties
- SG: No. 65
- Energy above the lowest structure with this stoichiometry: 23 meV/atom
- Calculated formation energy: -299 meV per atom

POSCAR file:
```
BaLa2Au
1.0
2.765 -2.772 0.000
2.765 2.772 0.000
0.000 0.000 9.943
Ba La Au
1 2 1
direct
0.000 0.000 0.000
0.500 0.500 0.336
0.500 0.500 0.664
0.000 0.000 0.500
```

Ca2Sb2O7 | PBE | optimized geometry

Properties
- SG: No. 227
- Formation energy (no corrections): -1.708 eV/atom

POSCAR file:
```
Ca2Sb2O7
1.0
0.000 5.193 5.193
5.193 0.000 5.193
5.193 5.193 0.000
Ca Sb O
4 4 14
direct
0.000 0.000 0.000
0.000 0.000 0.500
0.000 0.500 0.000
0.500 0.000 0.000
0.000 0.500 0.500
0.500 0.000 0.500
0.500 0.500 0.000
0.500 0.500 0.500
0.140 0.140 0.610
0.140 0.610 0.140
0.140 0.610 0.610
0.375 0.375 0.375
0.390 0.390 0.860
0.390 0.860 0.390
0.390 0.860 0.860
0.610 0.140 0.140
0.610 0.140 0.610
0.610 0.610 0.140
0.625 0.625 0.625
0.860 0.390 0.390
0.860 0.390 0.860
0.860 0.860 0.390
```

Sr2PmPd4Pb3 | PBE | optimized geometry

Properties
- SG: No. 115
- Calculated formation energy: -566 meV per atom

POSCAR file:
```
Sr2PmPd4Pb3
1.0
4.780 0.000 0.000
0.000 4.780 0.000
0.000 0.000 11.513
Sr Pm Pd Pb
2 1 4 3
direct
0.000 0.500 0.222
0.500 0.000 0.778
0.000 0.000 0.500
0.000 0.000 0.000
0.000 0.500 0.644
0.500 0.000 0.356
0.500 0.500 0.000
0.000 0.500 0.880
0.500 0.000 0.120
0.500 0.500 0.500
```

Sc2TcP2 | PBE | optimized geometry

Properties
- SG: No. 127
- Calculated formation energy: -1091 meV per atom

POSCAR file:
```
Sc2TcP2
1.0
6.332 0.000 0.000
0.000 6.332 0.000
0.000 0.000 3.911
Sc Tc P
4 2 4
direct
0.173 0.327 0.000
0.327 0.827 0.000
0.673 0.173 0.000
0.827 0.673 0.000
0.000 0.000 0.500
0.500 0.500 0.500
0.134 0.634 0.500
0.366 0.134 0.500
0.634 0.866 0.500
0.866 0.366 0.500
```

MnFeTe4 | PBE | optimized geometry

Properties
- SG: No. 2
- Formation energy (no corrections): -0.125 eV/atom

POSCAR file:
```
MnFeTe4
1.0
3.801 0.000 0.000
0.000 6.503 0.000
1.893 3.226 6.016
Mn Fe Te
1 1 4
direct
0.000 0.000 0.000
0.500 0.500 0.000
0.119 0.775 0.760
0.376 0.705 0.248
0.624 0.295 0.752
0.881 0.225 0.240
```

Ta2GeAu2Se4 | PBE | optimized geometry

Properties
- SG: No. 156
- Formation energy (no corrections): -0.449 eV/atom

POSCAR file:
```
Ta2GeAu2Se4
1.0
3.456 0.000 0.000
-1.728 2.993 0.000
0.000 0.000 19.294
Ta Ge Au Se
2 1 2 4
direct
0.000 0.000 0.000
0.333 0.667 0.358
0.333 0.667 0.673
0.000 0.000 0.580
0.000 0.000 0.763
0.000 0.000 0.270
0.000 0.000 0.444
0.333 0.667 0.087
0.333 0.667 0.912
```

La2PuTl3S6 | PBE | optimized geometry

Properties
- SG: No. 12
- Formation energy (no corrections): -1.403 eV/atom

POSCAR file:
```
La2PuTl3S6
1.0
3.666 -6.347 0.000
3.666 6.347 0.000
-2.443 0.000 7.426
La Pu Tl S
2 1 3 6
direct
0.167 0.833 0.000
0.833 0.167 0.000
0.500 0.500 0.000
0.000 0.000 0.500
0.333 0.667 0.500
0.667 0.333 0.500
0.110 0.433 0.799
0.245 0.245 0.204
0.433 0.110 0.799
0.567 0.890 0.201
0.755 0.755 0.796
0.890 0.567 0.201
```

YScPt | PBE | optimized geometry

Properties
- SG: No. 216
- Energy above the lowest structure with this stoichiometry: 139 meV/atom
- Calculated formation energy: -833 meV per atom

POSCAR file:
```
YScPt
1.0
0.000 3.343 3.343
3.343 0.000 3.343
3.343 3.343 0.000
Y Sc Pt
1 1 1
direct
0.000 0.000 0.000
0.500 0.500 0.500
0.750 0.750 0.750
```

Tb2Pm2NdDy2 | PBE | optimized geometry

Properties
- SG: No. 12
- Calculated formation energy: 15 meV per atom

POSCAR file:
```
Tb2Pm2NdDy2
1.0
5.681 -2.543 0.000
5.681 2.543 0.000
-1.141 0.000 7.974
Tb Pm Nd Dy
2 2 1 2
direct
0.071 0.071 0.215
0.929 0.929 0.785
0.357 0.357 0.071
0.643 0.643 0.929
0.500 0.500 0.500
0.215 0.215 0.642
0.785 0.785 0.358
```

SrCePb | PBE | optimized geometry

Properties
- SG: No. 107
- Calculated formation energy: -144 meV per atom

POSCAR file:
```
SrCePb
1.0
-2.104 2.104 6.042
2.104 -2.104 6.042
2.104 2.104 -6.042
Sr Ce Pb
1 1 1
direct
0.000 0.000 0.000
0.291 0.291 0.000
0.662 0.662 0.000
```

FeTe | PBE | optimized geometry

Properties
- SG: No. 38
- Formation energy (no corrections): 0.142 eV/atom

POSCAR file:
```
FeTe
1.0
3.340 0.000 0.000
0.000 5.715 3.264
0.000 -5.715 3.264
Fe Te
3 3
direct
0.000 0.000 0.000
0.500 0.216 0.872
0.500 0.872 0.216
0.000 0.552 0.893
0.000 0.893 0.552
0.500 0.310 0.310
```

BaSr2Cu2 | PBE | optimized geometry

Properties
- SG: No. 12
- Energy above the lowest structure with this stoichiometry: 23 meV/atom
- Calculated formation energy: 12 meV per atom

POSCAR file:
```
BaSr2Cu2
1.0
6.510 -2.208 0.000
6.510 2.208 0.000
-1.558 0.000 6.258
Ba Sr Cu
1 2 2
direct
0.000 0.000 0.000
0.347 0.347 0.405
0.653 0.653 0.595
0.270 0.270 0.915
0.730 0.730 0.085
```

Nd5Dy5Sc2 | PBE | optimized geometry

Properties
- SG: No. 12
- Calculated formation energy: 39 meV per atom

POSCAR file:
```
Nd5Dy5Sc2
1.0
7.538 -2.512 0.000
7.538 2.512 0.000
-5.007 0.000 10.062
Nd Dy Sc
5 5 2
direct
0.000 0.000 0.000
0.163 0.163 0.499
0.254 0.254 0.250
0.746 0.746 0.750
0.837 0.837 0.501
0.332 0.332 0.000
0.420 0.420 0.751
0.500 0.500 0.500
0.580 0.580 0.249
0.668 0.668 0.000
0.084 0.084 0.754
0.916 0.916 0.246
```

CsAu2Cl4 | PBE | optimized geometry

Properties
- SG: No. 12
- Formation energy (no corrections): -0.675 eV/atom

POSCAR file:
```
CsAu2Cl4
1.0
3.548 -3.541 0.000
3.548 3.541 0.000
-1.212 0.000 8.617
Cs Au Cl
1 2 4
direct
0.000 0.000 0.000
0.448 0.448 0.687
0.552 0.552 0.313
0.048 0.550 0.288
0.450 0.952 0.712
0.550 0.048 0.288
0.952 0.450 0.712
```

ThBiRh2 | PBE | optimized geometry

Properties
- SG: No. 123
- Calculated formation energy: -512 meV per atom

POSCAR file:
```
ThBiRh2
1.0
4.778 0.000 0.000
0.000 4.778 0.000
0.000 0.000 3.739
Th Bi Rh
1 1 2
direct
0.000 0.000 0.000
0.500 0.500 0.000
0.000 0.500 0.500
0.500 0.000 0.500
```

Dy2YCd6 | PBE | optimized geometry

Properties
- SG: No. 191
- Calculated formation energy: -323 meV per atom

POSCAR file:
```
Dy2YCd6
1.0
8.608 0.000 0.000
-4.304 7.455 0.000
0.000 0.000 3.440
Dy Y Cd
2 1 6
direct
0.333 0.667 0.000
0.667 0.333 0.000
0.000 0.000 0.000
0.000 0.333 0.500
0.000 0.667 0.500
0.333 0.000 0.500
0.333 0.333 0.500
0.667 0.000 0.500
0.667 0.667 0.500
```